1.
{
  "formula": "TbBeB4",
  "functional": "PBE",
  "state": "optimized geometry",
  "relative_energy_mev_per_atom": 0.0,
  "magnetic_moment_mub_per_fu": 0.0,
  "lattice": [[-0.5650, -1.4146, 2.7093], [-1.8127, -0.5716, -2.4593], [4.0384, -5.0608, -1.8003]],
  "species": ["B", "B", "B", "B", "Be", "Tb"],
  "fractional_positions": [[0.6667, 0.3333, 0.2018], [0.3333, 0.6667, 0.2018], [0.6667, 0.3333, 0.7982], [0.3333, 0.6667, 0.7982], [0.0000, 0.0000, 0.0000], [0.0000, 0.0000, 0.5000]]
}

---

2.
{
  "formula": "BeTcB",
  "functional": "PBE",
  "state": "optimized geometry",
  "total_energy_ev_per_cell": -18.8,
  "magnetic_moment_mub_per_fu": 0.3,
  "lattice": [[0.0000, 2.5644, 2.5644], [2.5644, 0.0000, 2.5644], [2.5644, 2.5644, 0.0000]],
  "species": ["B", "Be", "Tc"],
  "fractional_positions": [[0.2500, 0.2500, 0.2500], [0.7500, 0.7500, 0.7500], [0.0000, 0.0000, 0.0000]]
}

---

3.
{
  "formula": "BeTc2B",
  "functional": "PBE",
  "state": "optimized geometry",
  "total_energy_ev_per_cell": -29.9,
  "magnetic_moment_mub_per_fu": 0.0,
  "lattice": [[0.2897, -2.6466, 2.9854], [-2.3150, -3.2621, 0.0126], [1.6124, -3.5994, -0.6674]],
  "species": ["B", "Be", "Tc", "Tc"],
  "fractional_positions": [[0.5000, 0.5000, 0.5000], [0.2500, 0.2500, 0.2500], [0.0000, 0.0000, 0.0000], [0.7500, 0.7500, 0.7500]]
}

---

4.
{
  "formula": "ThBeB",
  "functional": "PBE",
  "state": "optimized geometry",
  "relative_energy_mev_per_atom": 0.0,
  "magnetic_moment_mub_per_fu": 0.0,
  "lattice": [[0.0000, 2.9789, 2.9789], [2.9789, 0.0000, 2.9789], [2.9789, 2.9789, 0.0000]],
  "species": ["B", "Be", "Th"],
  "fractional_positions": [[0.0000, 0.0000, 0.0000], [0.2500, 0.2500, 0.2500], [0.7500, 0.7500, 0.7500]]
}

---

5.
{
  "formula": "BeBW2",
  "functional": "PBE",
  "state": "optimized geometry",
  "relative_energy_mev_per_atom": 1129.4,
  "magnetic_moment_mub_per_fu": 0.0,
  "lattice": [[-1.5774, 0.2346, 3.8169], [-4.0938, -0.1925, 0.5616], [-1.6929, -3.3454, 1.7476]],
  "species": ["B", "Be", "W", "W"],
  "fractional_positions": [[0.5000, 0.5000, 0.5000], [0.2500, 0.2500, 0.2500], [0.0000, 0.0000, 0.0000], [0.7500, 0.7500, 0.7500]]
}

---

6.
{
  "formula": "Be2BW",
  "functional": "PBE",
  "state": "optimized geometry",
  "total_energy_ev_per_cell": -25.0,
  "magnetic_moment_mub_per_fu": 0.0,
  "lattice": [[1.5546, 2.2521, 2.6357], [-1.9016, 0.7770, 3.1962], [1.1623, -1.4670, 3.3064]],
  "species": ["B", "Be", "Be", "W"],
  "fractional_positions": [[0.5000, 0.5000, 0.5000], [0.0000, 0.0000, 0.0000], [0.7500, 0.7500, 0.7500], [0.2500, 0.2500, 0.2500]]
}

---

7.
{
  "formula": "BeBW2",
  "functional": "PBE",
  "state": "optimized geometry",
  "relative_energy_mev_per_atom": 0.0,
  "magnetic_moment_mub_per_fu": 0.0,
  "lattice": [[3.1802, 0.0000, 0.0000], [0.0000, 1.5981, 4.3091], [0.0000, -1.5981, 4.3091]],
  "species": ["B", "Be", "W", "W"],
  "fractional_positions": [[0.0000, 0.6902, 0.6902], [0.5000, 0.5608, 0.5608], [0.5000, 0.2719, 0.2719], [0.0000, 0.9763, 0.9763]]
}

---

8.
{
  "formula": "BeZnB2",
  "functional": "PBE",
  "state": "optimized geometry",
  "total_energy_ev_per_cell": -13.2,
  "lattice": [[0.0000, 2.6485, 2.6485], [2.6485, 0.0000, 2.6485], [2.6485, 2.6485, 0.0000]],
  "species": ["B", "B", "Be", "Zn"],
  "fractional_positions": [[0.2500, 0.2500, 0.2500], [0.5000, 0.5000, 0.5000], [0.0000, 0.0000, 0.0000], [0.7500, 0.7500, 0.7500]]
}

---

9.
{
  "formula": "Be2ZnB",
  "functional": "PBE",
  "state": "optimized geometry",
  "total_energy_ev_per_cell": -12.4,
  "lattice": [[-1.9527, -2.3553, 2.1809], [-3.2200, 1.1290, 1.5728], [-3.2716, -1.4003, -1.2051]],
  "species": ["B", "Be", "Be", "Zn"],
  "fractional_positions": [[0.0000, 0.0000, 0.0000], [0.5000, 0.5000, 0.5000], [0.7500, 0.7500, 0.7500], [0.2500, 0.2500, 0.2500]]
}

---

10.
{
  "formula": "ZrBeB4",
  "functional": "PBE",
  "state": "optimized geometry",
  "relative_energy_mev_per_atom": 203.6,
  "magnetic_moment_mub_per_fu": 0.0,
  "lattice": [[3.0532, 0.0000, 0.0000], [-1.5266, 2.6441, 0.0000], [0.0000, 0.0000, 6.5968]],
  "species": ["B", "B", "B", "B", "Be", "Zr"],
  "fractional_positions": [[0.6667, 0.3333, 0.2779], [0.3333, 0.6667, 0.2779], [0.6667, 0.3333, 0.7221], [0.3333, 0.6667, 0.7221], [0.0000, 0.0000, 0.5000], [0.0000, 0.0000, 0.0000]]
}

---

11.
{
  "formula": "ZrBeB",
  "functional": "PBE",
  "state": "optimized geometry",
  "total_energy_ev_per_cell": -16.8,
  "magnetic_moment_mub_per_fu": 0.0,
  "lattice": [[0.0000, 2.8084, 2.8084], [2.8084, 0.0000, 2.8084], [2.8084, 2.8084, 0.0000]],
  "species": ["B", "Be", "Zr"],
  "fractional_positions": [[0.2500, 0.2500, 0.2500], [0.7500, 0.7500, 0.7500], [0.0000, 0.0000, 0.0000]]
}

---

12.
{
  "formula": "ZrBeB4",
  "functional": "PBE",
  "state": "optimized geometry",
  "relative_energy_mev_per_atom": 229.5,
  "magnetic_moment_mub_per_fu": 0.0,
  "lattice": [[-1.5526, 2.5371, 3.5628], [1.5526, -2.5371, 3.5628], [1.5526, 2.5371, -3.5628]],
  "species": ["B", "B", "B", "B", "Be", "Zr"],
  "fractional_positions": [[0.5658, 0.2402, 0.3256], [0.0854, 0.7598, 0.3256], [0.9146, 0.2402, 0.6744], [0.4342, 0.7598, 0.6744], [0.0000, 0.0000, 0.0000], [0.5000, 0.5000, 0.0000]]
}

---

13.
{
  "formula": "Zr2BeB",
  "functional": "PBE",
  "state": "optimized geometry",
  "total_energy_ev_per_cell": -23.8,
  "magnetic_moment_mub_per_fu": 0.0,
  "lattice": [[0.0000, 3.1097, 3.1097], [3.1097, 0.0000, 3.1097], [3.1097, 3.1097, 0.0000]],
  "species": ["B", "Be", "Zr", "Zr"],
  "fractional_positions": [[0.5000, 0.5000, 0.5000], [0.2500, 0.2500, 0.2500], [0.0000, 0.0000, 0.0000], [0.7500, 0.7500, 0.7500]]
}

---

14.
{
  "formula": "ZrBeB4",
  "functional": "PBE",
  "state": "optimized geometry",
  "relative_energy_mev_per_atom": 0.0,
  "magnetic_moment_mub_per_fu": 0.0,
  "lattice": [[5.7292, 0.0000, 0.0000], [0.0000, 11.1025, 0.0000], [0.0000, 0.0000, 3.2702]],
  "species": ["B", "B", "B", "B", "B", "B", "B", "B", "B", "B", "B", "B", "B", "B", "B", "B", "Be", "Be", "Be", "Be", "Zr", "Zr", "Zr", "Zr"],
  "fractional_positions": [[0.8656, 0.0320, 0.5000], [0.3861, 0.0467, 0.5000], [0.7850, 0.1859, 0.5000], [0.4727, 0.1929, 0.5000], [0.9727, 0.3071, 0.5000], [0.2850, 0.3141, 0.5000], [0.8861, 0.4533, 0.5000], [0.3656, 0.4680, 0.5000], [0.6344, 0.5320, 0.5000], [0.1139, 0.5467, 0.5000], [0.7150, 0.6859, 0.5000], [0.0273, 0.6929, 0.5000], [0.5273, 0.8071, 0.5000], [0.2150, 0.8141, 0.5000], [0.6139, 0.9533, 0.5000], [0.1344, 0.9680, 0.5000], [0.6314, 0.0859, 0.0000], [0.1314, 0.4141, 0.0000], [0.8686, 0.5859, 0.0000], [0.3686, 0.9141, 0.0000], [0.1274, 0.1513, 0.0000], [0.6274, 0.3487, 0.0000], [0.3726, 0.6513, 0.0000], [0.8726, 0.8487, 0.0000]]
}

---

15.
{
  "formula": "CdBiB2",
  "functional": "PBE",
  "state": "optimized geometry",
  "total_energy_ev_per_cell": -11.0,
  "lattice": [[0.0000, 3.3298, 3.3298], [3.3298, 0.0000, 3.3298], [3.3298, 3.3298, 0.0000]],
  "species": ["B", "B", "Bi", "Cd"],
  "fractional_positions": [[0.0000, 0.0000, 0.0000], [0.2500, 0.2500, 0.2500], [0.7500, 0.7500, 0.7500], [0.5000, 0.5000, 0.5000]]
}

---

16.
{
  "formula": "CdBiB4",
  "functional": "PBE",
  "state": "optimized geometry",
  "relative_energy_mev_per_atom": 0.0,
  "lattice": [[3.1497, 0.0000, 0.0000], [-1.5748, 2.7277, 0.0000], [0.0000, 0.0000, 8.7322]],
  "species": ["B", "B", "B", "B", "Bi", "Cd"],
  "fractional_positions": [[0.6667, 0.3333, 0.2736], [0.3333, 0.6667, 0.2736], [0.6667, 0.3333, 0.7264], [0.3333, 0.6667, 0.7264], [0.0000, 0.0000, 0.0000], [0.0000, 0.0000, 0.5000]]
}

---

17.
{
  "formula": "CdBi2B",
  "functional": "PBE",
  "state": "optimized geometry",
  "total_energy_ev_per_cell": -11.5,
  "lattice": [[0.0000, 3.6807, 3.6807], [3.6807, 0.0000, 3.6807], [3.6807, 3.6807, 0.0000]],
  "species": ["B", "Bi", "Bi", "Cd"],
  "fractional_positions": [[0.5000, 0.5000, 0.5000], [0.0000, 0.0000, 0.0000], [0.7500, 0.7500, 0.7500], [0.2500, 0.2500, 0.2500]]
}

---

18.
{
  "formula": "CdBiB4",
  "functional": "PBE",
  "state": "optimized geometry",
  "relative_energy_mev_per_atom": 17.6,
  "lattice": [[-0.1719, -3.6222, 4.0312], [1.0080, 2.5240, 4.6919], [-3.3770, -0.5109, -4.2114]],
  "species": ["B", "B", "B", "B", "Bi", "Cd"],
  "fractional_positions": [[0.5784, 0.2461, 0.3323], [0.0861, 0.7539, 0.3323], [0.9139, 0.2461, 0.6677], [0.4216, 0.7539, 0.6677], [0.0000, 0.0000, 0.0000], [0.5000, 0.5000, 0.0000]]
}

---

19.
{
  "formula": "CdBiBF10",
  "functional": "PBE",
  "state": "optimized geometry",
  "total_energy_ev_per_cell": -235.2,
  "lattice": [[8.0892, 0.0000, 0.0437], [0.0000, 9.1626, 0.0000], [-0.4564, 0.0000, 8.5711]],
  "species": ["B", "B", "B", "B", "Bi", "Bi", "Bi", "Bi", "Cd", "Cd", "Cd", "Cd", "F", "F", "F", "F", "F", "F", "F", "F", "F", "F", "F", "F", "F", "F", "F", "F", "F", "F", "F", "F", "F", "F", "F", "F", "F", "F", "F", "F", "F", "F", "F", "F", "F", "F", "F", "F", "F", "F", "F", "F"],
  "fractional_positions": [[0.9341, 0.7776, 0.0022], [0.0659, 0.2776, 0.4978], [0.9341, 0.7224, 0.5022], [0.0659, 0.2224, 0.9978], [0.3397, 0.5595, 0.2392], [0.6603, 0.0595, 0.2608], [0.3397, 0.9405, 0.7392], [0.6603, 0.4405, 0.7608], [0.8264, 0.4699, 0.1980], [0.1736, 0.9699, 0.3020], [0.8264, 0.0301, 0.6980], [0.1736, 0.5301, 0.8020], [0.3665, 0.5788, 0.0045], [0.8213, 0.6636, 0.0276], [0.6721, 0.0789, 0.0301], [0.9239, 0.2741, 0.0681], [0.1435, 0.1188, 0.0951], [0.9810, 0.8439, 0.1442], [0.0908, 0.5589, 0.1807], [0.3291, 0.7813, 0.2262], [0.4115, 0.0775, 0.2378], [0.6562, 0.8438, 0.2452], [0.3438, 0.3438, 0.2548], [0.5885, 0.5775, 0.2622], [0.6709, 0.2813, 0.2738], [0.9092, 0.0589, 0.3193], [0.0190, 0.3439, 0.3558], [0.8565, 0.6188, 0.4049], [0.0761, 0.7741, 0.4319], [0.3279, 0.5789, 0.4699], [0.1787, 0.1636, 0.4724], [0.6335, 0.0788, 0.4955], [0.3665, 0.9212, 0.5045], [0.8213, 0.8364, 0.5276], [0.6721, 0.4211, 0.5301], [0.9239, 0.2259, 0.5681], [0.1435, 0.3812, 0.5951], [0.9810, 0.6561, 0.6442], [0.0908, 0.9411, 0.6807], [0.3291, 0.7187, 0.7262], [0.4115, 0.4225, 0.7378], [0.6562, 0.6562, 0.7452], [0.3438, 0.1562, 0.7548], [0.5885, 0.9225, 0.7622], [0.6709, 0.2187, 0.7738], [0.9092, 0.4411, 0.8193], [0.0190, 0.1561, 0.8558], [0.8565, 0.8812, 0.9049], [0.0761, 0.7259, 0.9319], [0.3279, 0.9211, 0.9699], [0.1787, 0.3364, 0.9724], [0.6335, 0.4212, 0.9955]]
}

---

20.
{
  "formula": "CoBiB2",
  "functional": "PBE",
  "state": "optimized geometry",
  "total_energy_ev_per_cell": -17.7,
  "magnetic_moment_mub_per_fu": 0.0,
  "lattice": [[0.0000, 2.9974, 2.9974], [2.9974, 0.0000, 2.9974], [2.9974, 2.9974, 0.0000]],
  "species": ["B", "B", "Bi", "Co"],
  "fractional_positions": [[0.0000, 0.0000, 0.0000], [0.7500, 0.7500, 0.7500], [0.5000, 0.5000, 0.5000], [0.2500, 0.2500, 0.2500]]
}